Entry 1:
## LiH4Pd4 (PBE-GGA)

Data for crystalline LiH4Pd4 at its relaxed geometry. Values from VASP.

The structure in Quantum ESPRESSO input format:
```
&SYSTEM
  ibrav = 0, nat = 9, ntyp = 3
/
ATOMIC_SPECIES
Li 6.94 Li.upf
H 1.01 H.upf
Pd 106.42 Pd.upf
ATOMIC_POSITIONS crystal
Li 0.000 0.000 0.000
H 0.145 0.542 0.168
H 0.314 0.831 0.541
H 0.686 0.169 0.459
H 0.855 0.458 0.832
Pd 0.200 0.197 0.402
Pd 0.397 0.402 0.803
Pd 0.603 0.598 0.197
Pd 0.800 0.803 0.598
CELL_PARAMETERS angstrom
3.912 0.000 0.000
1.943 4.689 0.000
1.953 0.005 4.694
```

Summary:
Raw total energy, eV per cell: -38.07

Entry 2:
## LiH3Pd2 (PBE-GGA)

Data for crystalline LiH3Pd2 at its relaxed geometry. Values from VASP.

The structure in Quantum ESPRESSO input format:
```
&SYSTEM
  ibrav = 0, nat = 6, ntyp = 3
/
ATOMIC_SPECIES
Li 6.94 Li.upf
H 1.01 H.upf
Pd 106.42 Pd.upf
ATOMIC_POSITIONS crystal
Li 0.000 0.000 0.000
H 0.196 0.196 0.698
H 0.500 0.500 0.000
H 0.804 0.804 0.302
Pd 0.343 0.343 0.340
Pd 0.657 0.657 0.660
CELL_PARAMETERS angstrom
4.719 -1.959 0.000
4.719 1.959 0.000
-0.844 0.000 2.738
```

Summary:
Raw total energy, eV per cell: -24.01

Entry 3:
## Li5H6Pd2 (PBE-GGA)

Data for crystalline Li5H6Pd2 at its relaxed geometry. Values from VASP.

The structure in Quantum ESPRESSO input format:
```
&SYSTEM
  ibrav = 0, nat = 26, ntyp = 3
/
ATOMIC_SPECIES
Li 6.94 Li.upf
H 1.01 H.upf
Pd 106.42 Pd.upf
ATOMIC_POSITIONS crystal
Li 0.000 0.000 0.000
Li 0.075 0.288 0.000
Li 0.199 0.566 0.000
Li 0.301 0.066 0.000
Li 0.425 0.788 0.000
Li 0.500 0.500 0.000
Li 0.575 0.212 0.000
Li 0.699 0.934 0.000
Li 0.801 0.434 0.000
Li 0.925 0.712 0.000
H 0.059 0.637 0.500
H 0.169 0.171 0.500
H 0.203 0.896 0.000
H 0.297 0.396 0.000
H 0.331 0.671 0.500
H 0.441 0.137 0.500
H 0.559 0.863 0.500
H 0.669 0.329 0.500
H 0.703 0.604 0.000
H 0.797 0.104 0.000
H 0.831 0.829 0.500
H 0.941 0.363 0.500
Pd 0.172 0.790 0.500
Pd 0.328 0.290 0.500
Pd 0.672 0.710 0.500
Pd 0.828 0.210 0.500
CELL_PARAMETERS angstrom
8.985 0.000 0.000
0.000 9.585 0.000
0.000 0.000 2.920
```

Summary:
Raw total energy, eV per cell: -88.24

Entry 4:
## LiHPd3 (PBE-GGA)

Data for crystalline LiHPd3 at its relaxed geometry. Values from VASP.

The structure in Quantum ESPRESSO input format:
```
&SYSTEM
  ibrav = 0, nat = 10, ntyp = 3
/
ATOMIC_SPECIES
Li 6.94 Li.upf
H 1.01 H.upf
Pd 106.42 Pd.upf
ATOMIC_POSITIONS crystal
Li 0.000 0.000 0.000
Li 0.500 0.500 0.500
H 0.250 0.250 0.250
H 0.750 0.750 0.750
Pd 0.005 0.750 0.495
Pd 0.250 0.505 0.995
Pd 0.495 0.005 0.750
Pd 0.505 0.995 0.250
Pd 0.750 0.495 0.005
Pd 0.995 0.250 0.505
CELL_PARAMETERS angstrom
3.625 2.093 2.818
-3.625 2.093 2.818
0.000 -4.185 2.818
```

Summary:
Raw total energy, eV per cell: -43.06